Cs2PbCl6F: relaxed, GGA-PBE.

Cell: 7.4055 7.4055 11.4919 Å, 90.00 90.00 90.00°
Space group I4/mmm (No. 139)
Asymmetric unit:
Cs 0.0000 0.5000 0.2500 [4 per cell]
Pb 0.0000 0.0000 0.0000 [2 per cell]
Cl 0.0000 0.0000 0.2254 [4 per cell]
Cl 0.2460 0.2460 0.0000 [8 per cell]
F 0.0000 0.0000 0.5000 [2 per cell]

Properties
The calculation puts the formation energy from raw total energies at -1.16 eV/atom. The volume is 31.511 Å³ per atom.